# 1
{"formula": "Ni2SeCl", "functional": "PBE-GGA", "state": "optimized geometry", "lattice": [[4.3523, 0.0000, 0.0000], [0.0000, 3.9030, 0.0283], [0.0000, 1.0221, 3.7813]], "species": ["Cl", "Ni", "Ni", "Se"], "fractional_positions": [[0.5000, 0.8390, 0.8384], [0.0000, 0.0150, 0.0149], [0.5000, 0.2469, 0.2475], [0.0000, 0.3992, 0.3993]], "e_above_lowest_polymorph_mev_per_atom": 68, "spacegroup": "Pm, No. 6", "raw_formation_energy_mev_per_atom": -72}


# 2
{"formula": "NiSe2Cl", "functional": "PBE-GGA", "state": "optimized geometry", "lattice": [[6.8746, 0.0000, 0.0000], [0.0000, 8.9963, 0.0000], [0.0000, 0.0000, 5.8559]], "species": ["Ni", "Ni", "Ni", "Ni", "Se", "Se", "Se", "Se", "Se", "Se", "Se", "Se", "Cl", "Cl", "Cl", "Cl"], "fractional_positions": [[0.2283, 0.3331, 0.1546], [0.7717, 0.6669, 0.6546], [0.2717, 0.8331, 0.6546], [0.7283, 0.1669, 0.1546], [0.4781, 0.0079, 0.2745], [0.5219, 0.9921, 0.7745], [0.0219, 0.5079, 0.7745], [0.9781, 0.4921, 0.2745], [0.0184, 0.7504, 0.4166], [0.9816, 0.2496, 0.9166], [0.4816, 0.2504, 0.9166], [0.5184, 0.7496, 0.4166], [0.0552, 0.8961, 0.9042], [0.9448, 0.1039, 0.4042], [0.4448, 0.3961, 0.4042], [0.5552, 0.6039, 0.9042]], "e_above_lowest_polymorph_mev_per_atom": 165, "spacegroup": "Pna2_1, No. 33", "raw_formation_energy_mev_per_atom": -147}


# 3
{"formula": "Ni2Se4Cl", "functional": "PBE-GGA", "state": "optimized geometry", "lattice": [[7.1093, -0.5040, -0.1228], [-1.0154, 7.0545, 0.1220], [-2.9378, -3.3770, 5.7963]], "species": ["Ni", "Ni", "Ni", "Ni", "Se", "Se", "Se", "Se", "Se", "Se", "Se", "Se", "Cl", "Cl"], "fractional_positions": [[0.6250, 0.3751, 0.7501], [0.6250, 0.8749, 0.2499], [0.6251, 0.3750, 0.2501], [0.1249, 0.3750, 0.7499], [0.8933, 0.2118, 0.3302], [0.3567, 0.5380, 0.1696], [0.8816, 0.5631, 0.6698], [0.7882, 0.1064, 0.6699], [0.4365, 0.1183, 0.3301], [0.3684, 0.1871, 0.8304], [0.4616, 0.6436, 0.8300], [0.8137, 0.6317, 0.1701], [0.2491, 0.7491, 0.5000], [0.0010, 0.0011, 0.0000]], "spacegroup": "C2/c, No. 15", "raw_formation_energy_mev_per_atom": -153}


# 4
{"formula": "NiSeCl2", "functional": "PBE-GGA", "state": "optimized geometry", "lattice": [[0.0000, 3.3160, 3.3160], [3.3160, 0.0000, 3.3160], [3.3160, 3.3160, 0.0000]], "species": ["Ni", "Se", "Cl", "Cl"], "fractional_positions": [[0.0000, 0.0000, 0.0000], [0.5000, 0.5000, 0.5000], [0.2500, 0.2500, 0.2500], [0.7500, 0.7500, 0.7500]], "e_above_lowest_polymorph_mev_per_atom": 1091, "spacegroup": "Fm-3m, No. 225", "raw_formation_energy_mev_per_atom": 729}


# 5
{"formula": "NiSe3Cl", "functional": "PBE-GGA", "state": "optimized geometry", "lattice": [[-3.3788, 2.2264, -2.7580], [-4.3259, -5.5731, 0.8014], [-0.2372, 5.3796, 4.6323]], "species": ["Ni", "Ni", "Se", "Se", "Se", "Se", "Se", "Se", "Cl", "Cl"], "fractional_positions": [[0.0000, 0.0000, 0.0000], [0.5000, 0.0000, 0.0000], [0.7503, 0.6706, 0.8353], [0.2497, 0.8352, 0.6707], [0.2497, 0.3294, 0.1647], [0.7503, 0.1648, 0.3293], [0.2497, 0.8352, 0.1645], [0.7503, 0.1648, 0.8355], [0.7490, 0.6669, 0.3335], [0.2510, 0.3331, 0.6665]], "e_above_lowest_polymorph_mev_per_atom": 0, "spacegroup": "P-3m1, No. 164", "raw_formation_energy_mev_per_atom": 91}


# 6
{"formula": "Ni2Se3Cl", "functional": "PBE-GGA", "state": "optimized geometry", "lattice": [[0.6852, 6.7537, 2.3409], [-3.1691, -1.3090, -6.3091], [-4.6912, -0.3672, 2.4326]], "species": ["Ni", "Ni", "Ni", "Ni", "Se", "Se", "Se", "Se", "Se", "Se", "Cl", "Cl"], "fractional_positions": [[0.0000, 0.0000, 0.0000], [0.0000, 0.5000, 0.0000], [0.5000, 0.5000, 0.0000], [0.5000, 0.0000, 0.0000], [0.1666, 0.3333, 0.7776], [0.1666, 0.8334, 0.7776], [0.6667, 0.8334, 0.7776], [0.3333, 0.1666, 0.2224], [0.8334, 0.6667, 0.2224], [0.8334, 0.1666, 0.2224], [0.3333, 0.6667, 0.2712], [0.6667, 0.3333, 0.7288]], "spacegroup": "P-3m1, No. 164", "raw_formation_energy_mev_per_atom": -250}


# 7
{"formula": "Ni3SeCl", "functional": "PBE-GGA", "state": "optimized geometry", "lattice": [[4.2467, 0.0000, 0.0000], [0.0000, 4.2467, 0.0000], [0.0000, 0.0000, 4.2467]], "species": ["Ni", "Ni", "Ni", "Se", "Cl"], "fractional_positions": [[0.0000, 0.5000, 0.0000], [0.0000, 0.0000, 0.5000], [0.5000, 0.0000, 0.0000], [0.5000, 0.5000, 0.5000], [0.0000, 0.0000, 0.0000]], "e_above_lowest_polymorph_mev_per_atom": 107, "spacegroup": "Pm-3m, No. 221", "raw_formation_energy_mev_per_atom": 580}


# 8
{"formula": "Sm4NiSe2Cl", "functional": "PBE-GGA", "state": "optimized geometry", "lattice": [[-2.0592, -1.1250, -3.2230], [-2.3720, -5.8250, 3.5486], [-4.7019, 5.4349, 1.1070]], "species": ["Sm", "Sm", "Sm", "Sm", "Ni", "Se", "Se", "Cl"], "fractional_positions": [[0.5000, 0.2620, 0.2490], [0.5000, 0.7380, 0.7510], [0.0000, 0.2744, 0.7722], [0.0000, 0.7256, 0.2278], [0.5000, 0.5000, 0.0000], [0.5000, 0.0000, 0.5000], [0.0000, 0.5000, 0.5000], [0.0000, 0.0000, 0.0000]], "spacegroup": "P2/m, No. 10", "raw_formation_energy_mev_per_atom": -1343}


# 9
{"formula": "Sm3NiSeCl", "functional": "PBE-GGA", "state": "optimized geometry", "lattice": [[-1.0668, 2.4652, 2.7045], [-7.1770, 0.1112, -2.9324], [0.7740, -7.7244, 7.3463]], "species": ["Sm", "Sm", "Sm", "Sm", "Sm", "Sm", "Ni", "Ni", "Se", "Se", "Cl", "Cl"], "fractional_positions": [[0.7500, 0.8492, 0.0811], [0.2500, 0.1508, 0.9189], [0.2500, 0.7376, 0.5394], [0.7500, 0.2624, 0.4606], [0.7500, 0.4680, 0.2183], [0.2500, 0.5320, 0.7817], [0.2500, 0.5675, 0.0580], [0.7500, 0.4325, 0.9420], [0.2500, 0.1602, 0.2214], [0.7500, 0.8398, 0.7786], [0.2500, 0.1470, 0.6245], [0.7500, 0.8530, 0.3755]], "spacegroup": "P2_1/m, No. 11", "raw_formation_energy_mev_per_atom": -1103}


# 10
{"formula": "Tb3NiSeCl", "functional": "PBE-GGA", "state": "optimized geometry", "lattice": [[-0.8374, 3.0210, -2.3237], [-6.7486, 1.4734, 4.3476], [6.5964, 5.0655, 4.2084]], "species": ["Tb", "Tb", "Tb", "Tb", "Tb", "Tb", "Ni", "Ni", "Se", "Se", "Cl", "Cl"], "fractional_positions": [[0.7500, 0.8926, 0.1065], [0.2500, 0.1074, 0.8935], [0.2500, 0.7034, 0.4923], [0.7500, 0.2966, 0.5077], [0.7500, 0.4383, 0.1590], [0.2500, 0.5617, 0.8410], [0.2500, 0.6675, 0.1375], [0.7500, 0.3325, 0.8625], [0.2500, 0.1893, 0.2403], [0.7500, 0.8107, 0.7597], [0.2500, 0.1130, 0.6068], [0.7500, 0.8870, 0.3932]], "spacegroup": "P2_1/m, No. 11", "raw_formation_energy_mev_per_atom": -1007}


# 11
{"formula": "TlNiSeCl6", "functional": "PBE-GGA", "state": "optimized geometry", "lattice": [[-4.7580, -3.5190, 2.5435], [1.7633, -3.8236, 4.8737], [-1.0127, 5.1933, 4.7333]], "species": ["Tl", "Ni", "Se", "Cl", "Cl", "Cl", "Cl", "Cl", "Cl"], "fractional_positions": [[0.9960, 0.9960, 0.9999], [0.6755, 0.6755, 0.5000], [0.3348, 0.3349, 0.4999], [0.9862, 0.3789, 0.3252], [0.3788, 0.9862, 0.6747], [0.6322, 0.3772, 0.6947], [0.9536, 0.6653, 0.7182], [0.3772, 0.6322, 0.3052], [0.6655, 0.9537, 0.2820]], "spacegroup": "C2, No. 5", "raw_formation_energy_mev_per_atom": -468}


# 12
{"formula": "NiWSe2Cl", "functional": "PBE-GGA", "state": "optimized geometry", "lattice": [[-0.7825, -0.3170, 4.7368], [-1.8375, -3.7973, -0.5577], [4.2686, -2.1480, 0.5614]], "species": ["Ni", "Se", "Se", "W", "Cl"], "fractional_positions": [[0.0000, 0.0000, 0.0000], [0.0000, 0.0000, 0.5000], [0.5000, 0.0000, 0.0000], [0.5000, 0.5000, 0.5000], [0.0000, 0.5000, 0.0000]], "spacegroup": "P4/mmm, No. 123", "raw_formation_energy_mev_per_atom": 836}